[1]
# Ba4CaCd PBE optimized geometry
data_Ba4CaCd
_chemical_formula_sum 'Ba4 Ca1 Cd1'
_cell_length_a 5.929
_cell_length_b 5.929
_cell_length_c 10.092
_cell_angle_alpha 90.00
_cell_angle_beta 90.00
_cell_angle_gamma 90.00
_space_group_name_H-M_alt 'P 4/m m m'
_space_group_IT_number 123
_space_group_name_Hall '-P 4 2'
loop_
_atom_site_label
_atom_site_type_symbol
_atom_site_fract_x
_atom_site_fract_y
_atom_site_fract_z
Ba1 Ba 0.000 0.500 0.203
Ca1 Ca 0.000 0.000 0.500
Cd1 Cd 0.500 0.500 0.000
# * crystal system: tetragonal
# * formation energy from the elements: 0.1084 eV/atom
# * energy relative to the lowest polymorph listed for this composition: 200 meV per atom

[2]
# BaCa2CdCl8 PBE optimized geometry
data_BaCa2CdCl8
_chemical_formula_sum 'Ba1 Ca2 Cd1 Cl8'
_cell_length_a 6.493
_cell_length_b 8.596
_cell_length_c 6.625
_cell_angle_alpha 90.00
_cell_angle_beta 90.91
_cell_angle_gamma 90.00
_space_group_name_H-M_alt 'P 1 2/m 1'
_space_group_IT_number 10
_space_group_name_Hall '-P 2y'
loop_
_atom_site_label
_atom_site_type_symbol
_atom_site_fract_x
_atom_site_fract_y
_atom_site_fract_z
Ba1 Ba 0.000 0.000 0.000
Ca1 Ca 0.500 0.262 0.500
Cd1 Cd 0.000 0.500 0.000
Cl1 Cl 0.229 0.282 0.174
Cl2 Cl 0.275 0.500 0.678
Cl3 Cl 0.293 0.000 0.645
# * energy relative to the elements, uncorrected: -47.575 kcal/mol of atoms
# * crystal system: monoclinic

[3]
# BaCa2CrCd PBE optimized geometry
data_BaCa2CrCd
_chemical_formula_sum 'Ba1 Ca2 Cr1 Cd1'
_cell_length_a 6.055
_cell_length_b 6.055
_cell_length_c 5.111
_cell_angle_alpha 90.00
_cell_angle_beta 90.00
_cell_angle_gamma 90.00
_space_group_name_H-M_alt 'P 4/m m m'
_space_group_IT_number 123
_space_group_name_Hall '-P 4 2'
loop_
_atom_site_label
_atom_site_type_symbol
_atom_site_fract_x
_atom_site_fract_y
_atom_site_fract_z
Ba1 Ba 0.000 0.000 0.000
Ca1 Ca 0.000 0.500 0.000
Cr1 Cr 0.000 0.000 0.500
Cd1 Cd 0.500 0.500 0.500
# * crystal system: tetragonal
# * formation energy from the elements: 1.2463 eV/atom

[4]
# BaCaCd2Cu PBE optimized geometry
data_BaCaCd2Cu
_chemical_formula_sum 'Ba1 Ca1 Cd2 Cu1'
_cell_length_a 5.291
_cell_length_b 5.291
_cell_length_c 5.345
_cell_angle_alpha 90.00
_cell_angle_beta 90.00
_cell_angle_gamma 90.00
_space_group_name_H-M_alt 'P 4/m m m'
_space_group_IT_number 123
_space_group_name_Hall '-P 4 2'
loop_
_atom_site_label
_atom_site_type_symbol
_atom_site_fract_x
_atom_site_fract_y
_atom_site_fract_z
Ba1 Ba 0.000 0.000 0.000
Ca1 Ca 0.500 0.500 0.000
Cd1 Cd 0.000 0.500 0.500
Cu1 Cu 0.500 0.500 0.500
# * crystal system: tetragonal
# * formation energy from the elements: -0.0912 eV/atom

[5]
# Ba2CaCdCu PBE optimized geometry
data_Ba2CaCdCu
_chemical_formula_sum 'Ba2 Ca1 Cd1 Cu1'
_cell_length_a 6.196
_cell_length_b 6.196
_cell_length_c 5.602
_cell_angle_alpha 90.00
_cell_angle_beta 90.00
_cell_angle_gamma 90.00
_space_group_name_H-M_alt 'P 4/m m m'
_space_group_IT_number 123
_space_group_name_Hall '-P 4 2'
loop_
_atom_site_label
_atom_site_type_symbol
_atom_site_fract_x
_atom_site_fract_y
_atom_site_fract_z
Ba1 Ba 0.000 0.500 0.000
Ca1 Ca 0.000 0.000 0.500
Cd1 Cd 0.500 0.500 0.500
Cu1 Cu 0.000 0.000 0.000
# * crystal system: tetragonal
# * formation energy from the elements: 0.0069 eV/atom
# * energy relative to the lowest polymorph listed for this composition: 0 meV per atom

[6]
# Ba2CaCdCu PBE optimized geometry
data_Ba2CaCdCu
_chemical_formula_sum 'Ba2 Ca1 Cd1 Cu1'
_cell_length_a 6.300
_cell_length_b 6.300
_cell_length_c 5.143
_cell_angle_alpha 90.00
_cell_angle_beta 90.00
_cell_angle_gamma 90.00
_space_group_name_H-M_alt 'P 4/m m m'
_space_group_IT_number 123
_space_group_name_Hall '-P 4 2'
loop_
_atom_site_label
_atom_site_type_symbol
_atom_site_fract_x
_atom_site_fract_y
_atom_site_fract_z
Ba1 Ba 0.000 0.500 0.000
Ca1 Ca 0.000 0.000 0.500
Cd1 Cd 0.500 0.500 0.500
Cu1 Cu 0.500 0.500 0.000
# * crystal system: tetragonal
# * formation energy from the elements: 0.0161 eV/atom
# * energy relative to the lowest polymorph listed for this composition: 9 meV per atom

[7]
# BaCa2CdCu PBE optimized geometry
data_BaCa2CdCu
_chemical_formula_sum 'Ba1 Ca2 Cd1 Cu1'
_cell_length_a 5.640
_cell_length_b 5.640
_cell_length_c 6.029
_cell_angle_alpha 90.00
_cell_angle_beta 90.00
_cell_angle_gamma 90.00
_space_group_name_H-M_alt 'P 4/m m m'
_space_group_IT_number 123
_space_group_name_Hall '-P 4 2'
loop_
_atom_site_label
_atom_site_type_symbol
_atom_site_fract_x
_atom_site_fract_y
_atom_site_fract_z
Ba1 Ba 0.000 0.000 0.000
Ca1 Ca 0.000 0.500 0.500
Cd1 Cd 0.500 0.500 0.000
Cu1 Cu 0.000 0.000 0.500
# * crystal system: tetragonal
# * formation energy from the elements: -0.0048 eV/atom
# * energy relative to the lowest polymorph listed for this composition: 41 meV per atom

[8]
# BaCa2CdCu PBE optimized geometry
data_BaCa2CdCu
_chemical_formula_sum 'Ba1 Ca2 Cd1 Cu1'
_cell_length_a 5.641
_cell_length_b 5.641
_cell_length_c 5.295
_cell_angle_alpha 90.00
_cell_angle_beta 90.00
_cell_angle_gamma 90.00
_space_group_name_H-M_alt 'P 4/m m m'
_space_group_IT_number 123
_space_group_name_Hall '-P 4 2'
loop_
_atom_site_label
_atom_site_type_symbol
_atom_site_fract_x
_atom_site_fract_y
_atom_site_fract_z
Ba1 Ba 0.000 0.000 0.000
Ca1 Ca 0.000 0.500 0.500
Cd1 Cd 0.500 0.500 0.000
Cu1 Cu 0.500 0.500 0.500
# * crystal system: tetragonal
# * formation energy from the elements: -0.0461 eV/atom
# * energy relative to the lowest polymorph listed for this composition: 0 meV per atom

[9]
# BaCaCdCu PBE optimized geometry
data_BaCaCdCu
_chemical_formula_sum 'Ba4 Ca4 Cd4 Cu4'
_cell_length_a 7.880
_cell_length_b 7.880
_cell_length_c 7.880
_cell_angle_alpha 90.00
_cell_angle_beta 90.00
_cell_angle_gamma 90.00
_space_group_name_H-M_alt 'F -4 3 m'
_space_group_IT_number 216
_space_group_name_Hall 'F -4 2 3'
loop_
_atom_site_label
_atom_site_type_symbol
_atom_site_fract_x
_atom_site_fract_y
_atom_site_fract_z
Ba1 Ba 0.000 0.000 0.000
Ca1 Ca 0.000 0.000 0.500
Cd1 Cd 0.250 0.250 0.250
Cu1 Cu 0.250 0.250 0.750
# * crystal system: cubic
# * formation energy from the elements: -0.0932 eV/atom

[10]
# BaCaEuCd PBE optimized geometry
data_BaCaEuCd
_chemical_formula_sum 'Ba4 Ca4 Eu4 Cd4'
_cell_length_a 8.600
_cell_length_b 8.600
_cell_length_c 8.600
_cell_angle_alpha 90.00
_cell_angle_beta 90.00
_cell_angle_gamma 90.00
_space_group_name_H-M_alt 'F -4 3 m'
_space_group_IT_number 216
_space_group_name_Hall 'F -4 2 3'
loop_
_atom_site_label
_atom_site_type_symbol
_atom_site_fract_x
_atom_site_fract_y
_atom_site_fract_z
Ba1 Ba 0.000 0.000 0.000
Ca1 Ca 0.250 0.250 0.250
Eu1 Eu 0.000 0.000 0.500
Cd1 Cd 0.250 0.250 0.750
# * crystal system: cubic
# * formation energy from the elements: -0.0504 eV/atom

[11]
# BaCaCd2F8 PBE optimized geometry
data_BaCaCd2F8
_chemical_formula_sum 'Ba1 Ca1 Cd2 F8'
_cell_length_a 4.045
_cell_length_b 7.998
_cell_length_c 5.726
_cell_angle_alpha 90.00
_cell_angle_beta 90.44
_cell_angle_gamma 90.00
_space_group_name_H-M_alt 'P 1 2/m 1'
_space_group_IT_number 10
_space_group_name_Hall '-P 2y'
loop_
_atom_site_label
_atom_site_type_symbol
_atom_site_fract_x
_atom_site_fract_y
_atom_site_fract_z
Ba1 Ba 0.000 0.000 0.000
Ca1 Ca 0.000 0.500 0.000
Cd1 Cd 0.500 0.265 0.500
F1 F 0.003 0.272 0.263
F2 F 0.496 0.000 0.718
F3 F 0.497 0.500 0.755
# * energy relative to the elements, uncorrected: -69.287 kcal/mol of atoms
# * crystal system: monoclinic

[12]
# Ba2CaCd3F12 PBE optimized geometry
data_Ba2CaCd3F12
_chemical_formula_sum 'Ba6 Ca3 Cd9 F36'
_cell_length_a 7.6329
_cell_length_b 7.6329
_cell_length_c 18.7869
_cell_angle_alpha 90.00
_cell_angle_beta 90.00
_cell_angle_gamma 120.00
_space_group_name_H-M_alt 'R -3 m'
_space_group_IT_number 166
_space_group_name_Hall '-R 3 2"'
loop_
_atom_site_label
_atom_site_type_symbol
_atom_site_fract_x
_atom_site_fract_y
_atom_site_fract_z
Ba1 Ba 0.0000 0.0000 0.1267
Ca1 Ca 0.0000 0.0000 0.5000
Cd1 Cd 0.0000 0.5000 0.0000
F1 F 0.0182 0.5091 0.3703
F2 F 0.0198 0.5099 0.1196
# * energy relative to the elements, uncorrected: -65.846 kcal/mol of atoms
# * crystal system: trigonal

[13]
# BaCaCdFe2 PBE optimized geometry
data_BaCaCdFe2
_chemical_formula_sum 'Ba1 Ca1 Cd1 Fe2'
_cell_length_a 5.216
_cell_length_b 5.216
_cell_length_c 5.715
_cell_angle_alpha 90.00
_cell_angle_beta 90.00
_cell_angle_gamma 90.00
_space_group_name_H-M_alt 'P 4/m m m'
_space_group_IT_number 123
_space_group_name_Hall '-P 4 2'
loop_
_atom_site_label
_atom_site_type_symbol
_atom_site_fract_x
_atom_site_fract_y
_atom_site_fract_z
Ba1 Ba 0.000 0.000 0.000
Ca1 Ca 0.500 0.500 0.500
Cd1 Cd 0.500 0.500 0.000
Fe1 Fe 0.000 0.500 0.500
# * crystal system: tetragonal
# * formation energy from the elements: 1.0146 eV/atom

[14]
# BaCaCd2Ga PBE optimized geometry
data_BaCaCd2Ga
_chemical_formula_sum 'Ba1 Ca1 Cd2 Ga1'
_cell_length_a 5.383
_cell_length_b 5.383
_cell_length_c 5.710
_cell_angle_alpha 90.00
_cell_angle_beta 90.00
_cell_angle_gamma 90.00
_space_group_name_H-M_alt 'P 4/m m m'
_space_group_IT_number 123
_space_group_name_Hall '-P 4 2'
loop_
_atom_site_label
_atom_site_type_symbol
_atom_site_fract_x
_atom_site_fract_y
_atom_site_fract_z
Ba1 Ba 0.000 0.000 0.000
Ca1 Ca 0.500 0.500 0.000
Cd1 Cd 0.000 0.500 0.500
Ga1 Ga 0.500 0.500 0.500
# * crystal system: tetragonal
# * formation energy from the elements: -0.0734 eV/atom

[15]
# BaCa2Cd2Ge2 PBE optimized geometry
data_BaCa2Cd2Ge2
_chemical_formula_sum 'Ba3 Ca6 Cd6 Ge6'
_cell_length_a 4.9201
_cell_length_b 4.9201
_cell_length_c 28.0605
_cell_angle_alpha 90.00
_cell_angle_beta 90.00
_cell_angle_gamma 120.00
_space_group_name_H-M_alt 'R -3 m'
_space_group_IT_number 166
_space_group_name_Hall '-R 3 2"'
loop_
_atom_site_label
_atom_site_type_symbol
_atom_site_fract_x
_atom_site_fract_y
_atom_site_fract_z
Ba1 Ba 0.0000 0.0000 0.0000
Ca1 Ca 0.0000 0.0000 0.1374
Cd1 Cd 0.0000 0.0000 0.4336
Ge1 Ge 0.0000 0.0000 0.2532
# * crystal system: trigonal
# * formation energy from the elements: -0.4132 eV/atom

[16]
# Ba2CaCdH PBE optimized geometry
data_Ba2CaCdH
_chemical_formula_sum 'Ba2 Ca1 Cd1 H1'
_cell_length_a 5.687
_cell_length_b 5.687
_cell_length_c 5.213
_cell_angle_alpha 90.00
_cell_angle_beta 90.00
_cell_angle_gamma 90.00
_space_group_name_H-M_alt 'P 4/m m m'
_space_group_IT_number 123
_space_group_name_Hall '-P 4 2'
loop_
_atom_site_label
_atom_site_type_symbol
_atom_site_fract_x
_atom_site_fract_y
_atom_site_fract_z
Ba1 Ba 0.000 0.500 0.000
Ca1 Ca 0.000 0.000 0.500
Cd1 Cd 0.500 0.500 0.500
H1 H 0.500 0.500 0.000
# * crystal system: tetragonal
# * energy relative to the lowest polymorph listed for this composition: 115 meV per atom

[17]
# Ba2CaCdH PBE optimized geometry
data_Ba2CaCdH
_chemical_formula_sum 'Ba2 Ca1 Cd1 H1'
_cell_length_a 5.880
_cell_length_b 5.880
_cell_length_c 4.817
_cell_angle_alpha 90.00
_cell_angle_beta 90.00
_cell_angle_gamma 90.00
_space_group_name_H-M_alt 'P 4/m m m'
_space_group_IT_number 123
_space_group_name_Hall '-P 4 2'
loop_
_atom_site_label
_atom_site_type_symbol
_atom_site_fract_x
_atom_site_fract_y
_atom_site_fract_z
Ba1 Ba 0.000 0.500 0.000
Ca1 Ca 0.000 0.000 0.500
Cd1 Cd 0.500 0.500 0.500
H1 H 0.000 0.000 0.000
# * crystal system: tetragonal
# * energy relative to the lowest polymorph listed for this composition: 0 meV per atom

[18]
# BaCa2CdH PBE optimized geometry
data_BaCa2CdH
_chemical_formula_sum 'Ba1 Ca2 Cd1 H1'
_cell_length_a 5.170
_cell_length_b 5.170
_cell_length_c 5.534
_cell_angle_alpha 90.00
_cell_angle_beta 90.00
_cell_angle_gamma 90.00
_space_group_name_H-M_alt 'P 4/m m m'
_space_group_IT_number 123
_space_group_name_Hall '-P 4 2'
loop_
_atom_site_label
_atom_site_type_symbol
_atom_site_fract_x
_atom_site_fract_y
_atom_site_fract_z
Ba1 Ba 0.000 0.000 0.000
Ca1 Ca 0.000 0.500 0.500
Cd1 Cd 0.500 0.500 0.000
H1 H 0.000 0.000 0.500
# * crystal system: tetragonal

[19]
# BaCaCd2H8 PBE optimized geometry
data_BaCaCd2H8
_chemical_formula_sum 'Ba1 Ca1 Cd2 H8'
_cell_length_a 5.2310
_cell_length_b 5.2310
_cell_length_c 8.1055
_cell_angle_alpha 90.00
_cell_angle_beta 90.00
_cell_angle_gamma 120.00
_space_group_name_H-M_alt 'P -3'
_space_group_IT_number 147
_space_group_name_Hall '-P 3'
loop_
_atom_site_label
_atom_site_type_symbol
_atom_site_fract_x
_atom_site_fract_y
_atom_site_fract_z
Ba1 Ba 0.0000 0.0000 0.0000
Ca1 Ca 0.0000 0.0000 0.5000
Cd1 Cd 0.3333 0.6667 0.7529
H1 H 0.0240 0.3074 0.6976
H2 H 0.3333 0.6667 0.9809
# * crystal system: trigonal

[20]
# Ba2CaCd3Hg12 PBE optimized geometry
data_Ba2CaCd3Hg12
_chemical_formula_sum 'Ba6 Ca3 Cd9 Hg36'
_cell_length_a 7.1949
_cell_length_b 7.1949
_cell_length_c 37.2430
_cell_angle_alpha 90.00
_cell_angle_beta 90.00
_cell_angle_gamma 120.00
_space_group_name_H-M_alt 'R -3 m'
_space_group_IT_number 166
_space_group_name_Hall '-R 3 2"'
loop_
_atom_site_label
_atom_site_type_symbol
_atom_site_fract_x
_atom_site_fract_y
_atom_site_fract_z
Ba1 Ba 0.0000 0.0000 0.1355
Ca1 Ca 0.0000 0.0000 0.5000
Cd1 Cd 0.0000 0.5000 0.0000
Hg1 Hg 0.0258 0.5129 0.8897
Hg2 Hg 0.0444 0.5222 0.6147
# * crystal system: trigonal
# * formation energy from the elements: -0.1871 eV/atom

Going through the records in order, we get total energy values of -1.6595, -3.8642, -2.0465, -2.0613, -2.1648, -2.1556, -2.1922, -2.2335, -2.3271, -3.8289, -4.7317, -4.5802, -3.3383, -1.8297, -2.8404, -2.1411, -2.2557, -2.2534, -2.8929, -0.8657 eV/atom.